(1)
DyErZnCu: relaxed, GGA-PBE.

Geometry as POSCAR:
```
DyErZnCu
1.0
3.4955 0.0000 0.0000
0.0000 3.4955 0.0000
0.0000 0.0000 7.0292
Dy Er Zn Cu
1 1 1 1
direct
0.0000 0.0000 0.0000
0.0000 0.0000 0.5140
0.5000 0.5000 0.2602
0.5000 0.5000 0.7520
```

ΔH_f (0 K)	-0.30	eV/atom
Fermi-level density of states	2.619	states/eV/cell
total moment	0.000	μB/f.u.
energy above the lowest structure with this stoichiometry	0	meV/atom
E	-3.9376	eV/atom
density	8.87	Mg/m³

(2)
PaNiRhPb: relaxed, GGA-PBE.

Geometry as POSCAR:
```
PaNiRhPb
1.0
0.0000 3.3791 3.3791
3.3791 0.0000 3.3791
3.3791 3.3791 0.0000
Pa Ni Rh Pb
1 1 1 1
direct
0.0000 0.0000 0.0000
0.2500 0.2500 0.2500
0.7500 0.7500 0.7500
0.5000 0.5000 0.5000
```

ΔH_f (0 K)	-0.28	eV/atom
Fermi-level density of states	5.203	states/eV/cell
total moment	0.000	μB/f.u.
E	-6.8608	eV/atom
density	12.91	Mg/m³

(3)
Rb2BaIrF8: relaxed, GGA-PBE.

Geometry as POSCAR:
```
Rb2BaIrF8
1.0
4.5037 0.0000 0.0000
0.0000 8.1598 0.0000
-0.6886 0.0000 6.3706
Rb Ba Ir F
2 1 1 8
direct
0.0000 0.2381 0.0000
0.0000 0.7619 0.0000
0.5000 0.5000 0.5000
0.5000 0.0000 0.5000
0.0199 0.5000 0.7342
0.1249 0.0000 0.3207
0.4122 0.1862 0.6872
0.4122 0.8138 0.6872
0.5878 0.1862 0.3128
0.5878 0.8138 0.3128
0.8751 0.0000 0.6793
0.9801 0.5000 0.2658
```

Fermi-level density of states	6.711	states/eV/cell
total moment	1.008	μB/f.u.
E	-4.8392	eV/atom
uncorrected formation energy	-2.53	eV per atom
density	4.63	Mg/m³

(4)
RbZr3Se6: relaxed, GGA-PBE.

Geometry as POSCAR:
```
RbZr3Se6
1.0
12.1212 0.0000 0.0000
0.0000 3.8169 0.0000
-3.5941 0.0000 11.6871
Rb Zr Se
2 6 12
direct
0.1048 0.2500 0.3765
0.8952 0.7500 0.6235
0.1510 0.2500 0.0363
0.2996 0.7500 0.7310
0.4692 0.7500 0.3547
0.5308 0.2500 0.6453
0.7004 0.2500 0.2690
0.8490 0.7500 0.9637
0.0498 0.7500 0.1352
0.1422 0.2500 0.6557
0.2453 0.7500 0.9413
0.3201 0.2500 0.2473
0.3679 0.7500 0.5347
0.4552 0.2500 0.8305
0.5448 0.7500 0.1695
0.6321 0.2500 0.4653
0.6799 0.7500 0.7527
0.7547 0.2500 0.0587
0.8578 0.7500 0.3443
0.9502 0.2500 0.8648
```

Fermi-level density of states	6.195	states/eV/cell
total moment	0.000	μB/f.u.
E	-6.0677	eV/atom
uncorrected formation energy	-1.32	eV per atom
density	5.12	Mg/m³

(5)
MnFeHPt2: relaxed, GGA-PBE.

Geometry as POSCAR:
```
MnFeHPt2
1.0
4.8285 0.0000 0.0000
0.0000 4.8285 0.0000
0.0000 0.0000 2.8645
Mn Fe H Pt
1 1 1 2
direct
0.0000 0.0000 0.0000
0.5000 0.5000 0.5000
0.0000 0.0000 0.5000
0.0000 0.5000 0.0000
0.5000 0.0000 0.0000
```

Fermi-level density of states	6.865	states/eV/cell
total moment	3.830	μB/f.u.
energy above the lowest structure with this stoichiometry	729	meV/atom
E	-5.9773	eV/atom
density	12.48	Mg/m³

(6)
PaTl2HgBr6: relaxed, GGA-PBE.

Geometry as POSCAR:
```
PaTl2HgBr6
1.0
8.2073 0.0000 0.0000
4.0734 7.1878 0.0000
4.0820 2.3806 7.6034
Pa Tl Hg Br
1 2 1 6
direct
0.0000 0.0000 0.0000
0.1830 0.1875 0.4433
0.6576 0.6549 0.0279
0.4959 0.4941 0.5151
0.0301 0.3665 0.7809
0.2030 0.9529 0.2080
0.3660 0.8262 0.7774
0.6397 0.1957 0.2114
0.8195 0.0298 0.7809
0.9549 0.6383 0.2079
```

Fermi-level density of states	0.331	states/eV/cell
total moment	1.008	μB/f.u.
E	-3.5465	eV/atom
uncorrected formation energy	-1.09	eV per atom
density	4.89	Mg/m³

(7)
AcLa2ScSe4: relaxed, GGA-PBE.

Geometry as POSCAR:
```
AcLa2ScSe4
1.0
7.3603 0.0000 0.0000
0.0000 4.2173 0.0000
-2.4072 0.0000 7.0573
Ac La Sc Se
1 2 1 4
direct
0.0000 0.0000 0.0000
0.5000 0.0000 0.5000
0.5000 0.5000 0.0000
0.0000 0.5000 0.5000
0.2298 0.0000 0.7235
0.2441 0.5000 0.2696
0.7559 0.5000 0.7304
0.7702 0.0000 0.2765
```

Fermi-level density of states	5.547	states/eV/cell
total moment	0.002	μB/f.u.
E	-6.0804	eV/atom
uncorrected formation energy	-1.80	eV per atom
density	6.56	Mg/m³

(8)
Nd2AlNi: relaxed, GGA-PBE.

Geometry as POSCAR:
```
Nd2AlNi
1.0
3.5623 0.0000 0.0000
0.0000 3.5623 0.0000
0.0000 0.0000 7.4432
Nd Al Ni
2 1 1
direct
0.0000 0.0000 0.2284
0.0000 0.0000 0.7716
0.5000 0.5000 0.5000
0.5000 0.5000 0.0000
```

ΔH_f (0 K)	-0.27	eV/atom
Fermi-level density of states	2.831	states/eV/cell
total moment	0.000	μB/f.u.
energy above the lowest structure with this stoichiometry	0	meV/atom
E	-5.0372	eV/atom
density	6.58	Mg/m³